The following is a DFT calculation (GGA-PBE) of Ce3ZnGe3 after structural relaxation.

Calculated values
Spin magnetization, μB/cell: 5.0
DFT formation energy, meV per atom: -633
Energy, eV per formula unit: -37.359
Symmetry: C2/m
Energy above the lowest structure with this stoichiometry, meV/atom: 0

Cell lengths 5.961, 5.961, 14.182 Å; angles 106.83, 106.83, 42.51 degrees
Positions (direct):
Ce: 0.022 0.022 0.383
Ce: 0.097 0.097 0.921
Ce: 0.246 0.246 0.226
Ce: 0.754 0.754 0.774
Ce: 0.903 0.903 0.079
Ce: 0.978 0.978 0.617
Zn: 0.270 0.270 0.606
Zn: 0.730 0.730 0.394
Ge: 0.356 0.356 0.450
Ge: 0.373 0.373 0.922
Ge: 0.469 0.469 0.768
Ge: 0.531 0.531 0.232
Ge: 0.627 0.627 0.078
Ge: 0.644 0.644 0.550